1.
{"formula": "Pr3Ga2Hg4", "functional": "GGA-PBE", "state": "optimized geometry", "lattice": [[4.858, 0.000, 0.000], [-2.429, 5.295, -1.969], [0.000, -0.776, 9.165]], "species": ["Pr", "Pr", "Pr", "Ga", "Ga", "Hg", "Hg", "Hg", "Hg"], "frac_coords": [[0.664, 0.328, 0.671], [0.000, 0.000, 0.000], [0.336, 0.672, 0.329], [0.608, 0.215, 0.276], [0.392, 0.785, 0.724], [0.699, 0.398, 0.040], [0.301, 0.602, 0.960], [0.918, 0.837, 0.591], [0.082, 0.163, 0.409]], "dft_energy_ev_per_atom": -2.8883, "sg": "C2/m (12)"}

2.
{"formula": "Li2YAl", "functional": "GGA-PBE", "state": "optimized geometry", "lattice": [[-0.062, 2.809, -4.463], [-3.239, 1.202, -3.984], [-2.107, 4.497, 1.109]], "species": ["Al", "Li", "Li", "Y"], "frac_coords": [[0.250, 0.250, 0.250], [0.978, 0.978, 0.053], [0.522, 0.522, 0.447], [0.750, 0.750, 0.750]], "dft_energy_ev_per_atom": -3.5950, "sg": "C2/m (12)"}

3.
{"formula": "LiMgCu2", "functional": "GGA-PBE", "state": "optimized geometry", "lattice": [[-2.513, 2.944, -2.137], [-2.219, -0.880, 1.398], [0.869, 3.196, 3.382]], "species": ["Mg", "Cu", "Cu", "Li"], "frac_coords": [[0.500, 0.624, 0.799], [0.000, 0.125, 0.972], [0.500, 0.125, 0.290], [0.000, 0.626, 0.440]], "dft_energy_ev_per_atom": -2.9657, "sg": "Pmm2 (25)"}

4.
{"formula": "Tb5Tl2In2", "functional": "GGA-PBE", "state": "optimized geometry", "lattice": [[-2.482, -6.355, -4.036], [3.242, -4.939, 5.783], [-8.600, 2.626, 1.155]], "species": ["Tb", "Tb", "Tb", "Tb", "Tb", "Tb", "Tb", "Tb", "Tb", "Tb", "Tl", "Tl", "Tl", "Tl", "In", "In", "In", "In"], "frac_coords": [[0.000, 0.000, 0.000], [0.500, 0.500, 0.000], [0.829, 0.822, 0.276], [0.171, 0.454, 0.276], [0.329, 0.954, 0.276], [0.671, 0.322, 0.276], [0.171, 0.178, 0.724], [0.829, 0.546, 0.724], [0.671, 0.046, 0.724], [0.329, 0.678, 0.724], [0.000, 0.212, 0.424], [0.500, 0.712, 0.424], [0.000, 0.788, 0.576], [0.500, 0.288, 0.576], [0.625, 0.875, 0.000], [0.375, 0.125, 0.000], [0.125, 0.625, 0.000], [0.875, 0.375, 0.000]], "sg": "Cmce (64)", "e_above_lowest_polymorph_mev_per_atom": 0}

no.,V (Å³ per cell),DOS at the Fermi energy (states/eV/cell)
1,228,5.62
2,86,1.36
3,58,0.77
4,529,13.77